Record 1
The following is a DFT calculation (PBE-GGA) of a relaxed Er4ScTl2 crystal.

Properties
For the distance to the lowest polymorph of the same formula, the calculation gives 0 meV/atom. The total magnetization comes out at 0.0000 μB/atom. The density of states at the Fermi level is 6.29 states/eV/cell. The value obtained for the formation energy from the elements is -0.1242 eV/atom.

a = 6.5980 Å, b = 6.5980 Å, c = 4.6862 Å
α = 90.00°, β = 90.00°, γ = 99.27°
Last column: nearest neighbours and their distance in Å.
Sites, in units of the cell vectors:
Er: 0.0000 0.5000 0.5000  4 Tl 3.19, 2 Sc 3.30, 4 Er 3.45
Er: 0.2105 0.2105 0.0000  4 Tl 3.30-3.37, 2 Sc 3.41, 5 Er 3.45-3.60
Er: 0.5000 0.0000 0.5000  4 Tl 3.19, 2 Sc 3.30, 4 Er 3.45
Er: 0.7895 0.7895 0.0000  4 Tl 3.30-3.37, 2 Sc 3.41, 5 Er 3.45-3.60
Sc: 0.5000 0.5000 0.5000  4 Tl 3.20, 8 Er 3.30-3.41
Tl: 0.2833 0.7167 0.0000  8 Er 3.19-3.37, 2 Sc 3.20
Tl: 0.7167 0.2833 0.0000  8 Er 3.19-3.37, 2 Sc 3.20

---

Record 2
The following is a DFT calculation (PBE-GGA) of a relaxed Ac2DyScSe5 crystal.

Properties
The total magnetization comes out at 0.0001 μB/atom. The density of states at the Fermi level is 12.17 states/eV/cell. Its uncorrected formation energy is -1.830 eV per atom.

a = 8.9969 Å, b = 8.9969 Å, c = 13.2946 Å
α = 90.00°, β = 90.00°, γ = 152.83°
Last column: nearest neighbours and their distance in Å.
Sites, in units of the cell vectors:
Ac: 0.1054 0.8946 0.5000  8 Se 3.09-3.41
Ac: 0.1431 0.8569 0.1210  7 Se 3.14-3.32
Ac: 0.8569 0.1431 0.6210  7 Se 3.14-3.32
Ac: 0.8946 0.1054 0.0000  8 Se 3.09-3.41
Dy: 0.2071 0.7929 0.8250  6 Se 2.79-2.93
Dy: 0.7929 0.2071 0.3250  6 Se 2.79-2.93
Sc: 0.4711 0.5289 0.2684  5 Se 2.60-2.84
Sc: 0.5289 0.4711 0.7684  5 Se 2.60-2.84
Se: 0.0534 0.9466 0.8816  2 Sc 2.63, 1 Dy 2.79
Se: 0.2807 0.7193 0.4735  2 Dy 2.90, 3 Ac 3.09-3.18
Se: 0.3238 0.6762 0.1783  1 Sc 2.84, 2 Dy 2.93
Se: 0.3719 0.6281 0.8124  1 Sc 2.81, 1 Dy 2.89
Se: 0.4862 0.5138 0.5814  1 Sc 2.60
Se: 0.5138 0.4862 0.0814  1 Sc 2.60
Se: 0.6281 0.3719 0.3124  1 Sc 2.81, 1 Dy 2.89
Se: 0.6762 0.3238 0.6783  1 Sc 2.84, 2 Dy 2.93
Se: 0.7193 0.2807 0.9735  2 Dy 2.90, 3 Ac 3.09-3.18
Se: 0.9466 0.0534 0.3816  2 Sc 2.63, 1 Dy 2.79

---

Record 3
The following is a DFT calculation (PBE-GGA) of a relaxed CdBiSb2 crystal.

Properties
For the distance to the lowest polymorph of the same formula, the calculation gives 56 meV/atom. The total magnetization comes out at 0.0000 μB/atom. The density of states at the Fermi level is 8.34 states/eV/cell. Its uncorrected formation energy is 0.124 eV per atom.

a = 8.3909 Å, b = 8.3909 Å, c = 8.3909 Å
α = 132.57°, β = 132.57°, γ = 69.32°
Last column: nearest neighbours and their distance in Å.
Sites, in units of the cell vectors:
Cd: 0.0000 0.0000 0.0000  4 Sb 2.86
Cd: 0.7500 0.2500 0.5000  4 Sb 2.86
Bi: 0.2500 0.7500 0.5000  4 Sb 3.04
Bi: 0.5000 0.5000 0.0000  4 Sb 3.04
Sb: 0.1022 0.6250 0.9772  2 Cd 2.86, 2 Bi 3.04
Sb: 0.3750 0.3522 0.4772  2 Cd 2.86, 2 Bi 3.04
Sb: 0.6478 0.1250 0.0228  2 Cd 2.86, 2 Bi 3.04
Sb: 0.8750 0.8978 0.5228  2 Cd 2.86, 2 Bi 3.04

---

Record 4
The following is a DFT calculation (PBE-GGA) of a relaxed Mg4FeAs crystal.

Properties
The total magnetization comes out at 0.3538 μB/atom. The density of states at the Fermi level is 7.39 states/eV/cell. The value obtained for the formation energy from the elements is 0.4418 eV/atom.

a = 5.5644 Å, b = 5.5644 Å, c = 5.5644 Å
α = 60.00°, β = 60.00°, γ = 60.00°
Last column: nearest neighbours and their distance in Å.
Sites, in units of the cell vectors:
Mg: 0.1253 0.1253 0.1253  6 Mg 2.78-2.79
Mg: 0.1253 0.1253 0.6241  6 Mg 2.78-2.79
Mg: 0.1253 0.6241 0.1253  6 Mg 2.78-2.79
Mg: 0.6241 0.1253 0.1253  6 Mg 2.78-2.79
Fe: 0.5000 0.5000 0.5000  12 Mg 3.26, 4 As 3.41
As: 0.7500 0.7500 0.7500  12 Mg 3.26, 4 Fe 3.41

---

Record 5
The following is a DFT calculation (PBE-GGA) of a relaxed AsSe2Br crystal.

Properties
For the distance to the lowest polymorph of the same formula, the calculation gives 435 meV/atom. The total magnetization comes out at 0.0000 μB/atom. The density of states at the Fermi level is 1.68 states/eV/cell. Its uncorrected formation energy is 0.283 eV per atom.

a = 3.6162 Å, b = 3.6162 Å, c = 7.1579 Å
α = 90.00°, β = 90.00°, γ = 90.00°
Last column: nearest neighbours and their distance in Å.
Sites, in units of the cell vectors:
As: 0.0000 0.0000 0.0000  8 Se 2.86
Se: 0.5000 0.5000 0.1793  1 Se 2.57, 4 As 2.86
Se: 0.5000 0.5000 0.8207  1 Se 2.57, 4 As 2.86
Br: 0.0000 0.0000 0.5000  8 Se 3.44, 2 As 3.58, 4 Br 3.62